Entry 1:
## KYBe2 (PBE)

Data for a relaxed KYBe2 crystal.

VASP energy in eV/atom: -3.16
E above lowest polymorph in meV per atom: 219
Mass density in g cm⁻³: 2.7
Energy relative to the elements in eV per atom: 0.59
N(E_F) in states/eV per atom: 0.66
Size of the total moment in Bohr magnetons per cell: 0.21

Unit cell a=3.1436 b=3.1436 c=9.2111 alpha=90.00 beta=90.00 gamma=90.00
Last column: nearest neighbours and their distance in Å.
Positions (direct):
K1 0.0000 0.0000 0.0000  4 K 3.14, 1 Be 3.43
Y1 0.5000 0.5000 0.3993  5 Be 2.79-3.06
Be1 0.0000 0.0000 0.6282  4 Be 2.33
Be2 0.5000 0.5000 0.7028  4 Be 2.33


Entry 2:
## PaInTe (PBE)

Data for a relaxed PaInTe crystal.

VASP energy in eV/atom: -5.36
E above lowest polymorph in meV per atom: 256
Formation energy (no corrections) in eV/f.u.: -0.7
Mass density in g cm⁻³: 9.7
N(E_F) in states/eV per atom: 1.67
Size of the total moment in Bohr magnetons per cell: 0.00

Unit cell a=6.3732 b=6.3732 c=6.3732 alpha=145.89 beta=145.89 gamma=49.02
Last column: nearest neighbours and their distance in Å.
Positions (direct):
Pa1 0.0000 0.0000 0.0000  4 Te 3.12, 4 In 3.37
In1 0.6798 0.6798 0.0000  5 Te 3.35-3.73, 5 Pa 3.37-3.71, 4 In 3.74
Te1 0.3579 0.3579 0.0000  4 Pa 3.12, 4 In 3.35